Compound: CePa5As6
Source: the Alexandria database
Functional: PBE
Structure: optimized geometry

Lattice parameters (Å, degrees): 7.1196 7.1196 7.1187 99.60 99.60 120.00
With the nearest neighbours (Å) after each atom.
Positions (direct):
Pa: 0.1647 0.8353 0.5000  6 As 2.89-2.91
Pa: 0.5000 0.5000 0.5000  6 As 2.88-2.91
Pa: 0.3330 0.6670 0.0000  6 As 2.90-2.91
Pa: 0.6670 0.3330 0.0000  6 As 2.90-2.91
Pa: 0.8353 0.1647 0.5000  6 As 2.89-2.91
As: 0.9157 0.5789 0.7475  5 Pa 2.89-2.91, 1 Ce 2.94
As: 0.5789 0.9157 0.7475  5 Pa 2.89-2.91, 1 Ce 2.94
As: 0.4211 0.0843 0.2525  5 Pa 2.89-2.91, 1 Ce 2.94
As: 0.7465 0.7465 0.2503  5 Pa 2.88-2.90, 1 Ce 2.93
As: 0.0843 0.4211 0.2525  5 Pa 2.89-2.91, 1 Ce 2.94
As: 0.2535 0.2535 0.7497  5 Pa 2.88-2.90, 1 Ce 2.93
Ce: 0.0000 0.0000 0.0000  6 As 2.93-2.94

Output
ρ in g cm⁻³: 9.834
Formation energy in eV/atom: -1.1223
DOS at the Fermi energy in states/eV per cell: 15.3
E in eV/cell: -94.78
SG: C2/m, No. 12